# 1
The following is a DFT calculation (PBE-GGA) of KLaRu after structural relaxation.

Cell lengths 7.612, 7.586, 3.732 Å; angles 76.18, 75.39, 28.43 degrees
Element x y z (fractional)
K 0.000 0.000 0.000
La 0.750 0.750 0.250
Ru 0.307 0.307 0.693

E above lowest polymorph: 0 meV per atom
E_form: 286 meV per atom
Fermi-level density of states: 2.4 states/eV/f.u.
space group: Fmm2 (42)

=====

# 2
The following is a DFT calculation (PBE-GGA) of Nd2Tm8Pb after structural relaxation.

Cell lengths 9.347, 9.347, 7.825 Å; angles 104.52, 104.52, 30.39 degrees
Element x y z (fractional)
Nd 0.220 0.220 0.131
Nd 0.780 0.780 0.869
Tm 0.044 0.044 0.221
Tm 0.135 0.135 0.675
Tm 0.318 0.318 0.593
Tm 0.411 0.411 0.057
Tm 0.589 0.589 0.943
Tm 0.682 0.682 0.407
Tm 0.865 0.865 0.325
Tm 0.956 0.956 0.779
Pb 0.500 0.500 0.500

E_form: -64 meV per atom
Fermi-level density of states: 15.2 states/eV/f.u.
space group: C2/m (12)

=====

# 3
The following is a DFT calculation (PBE-GGA) of KCd9Ag2 after structural relaxation.

Cell lengths 9.380, 9.380, 9.380 Å; angles 99.96, 99.96, 130.84 degrees
Element x y z (fractional)
K 0.375 0.625 0.750
K 0.625 0.375 0.250
Cd 0.125 0.875 0.250
Cd 0.134 0.560 0.333
Cd 0.134 0.801 0.574
Cd 0.199 0.273 0.333
Cd 0.199 0.866 0.926
Cd 0.273 0.199 0.833
Cd 0.273 0.440 0.074
Cd 0.440 0.273 0.574
Cd 0.440 0.866 0.167
Cd 0.560 0.134 0.833
Cd 0.560 0.727 0.426
Cd 0.727 0.560 0.926
Cd 0.727 0.801 0.167
Cd 0.801 0.134 0.074
Cd 0.801 0.727 0.667
Cd 0.866 0.199 0.426
Cd 0.866 0.440 0.667
Cd 0.875 0.125 0.750
Ag 0.000 0.000 0.000
Ag 0.000 0.000 0.500
Ag 0.000 0.500 0.000
Ag 0.500 0.000 0.500

E above lowest polymorph: 0 meV per atom
E_form: -83 meV per atom
Fermi-level density of states: 3.8 states/eV/f.u.
space group: I4_1/amd (141)

=====

# 4
The following is a DFT calculation (PBE-GGA) of Li4CdSn after structural relaxation.

Cell lengths 5.768, 4.685, 8.496 Å; angles 90.00, 109.66, 90.00 degrees
Element x y z (fractional)
Li 0.039 0.250 0.084
Li 0.193 0.250 0.416
Li 0.277 0.750 0.585
Li 0.455 0.750 0.916
Li 0.545 0.250 0.084
Li 0.723 0.250 0.415
Li 0.807 0.750 0.584
Li 0.961 0.750 0.916
Cd 0.384 0.750 0.270
Cd 0.616 0.250 0.730
Sn 0.131 0.250 0.760
Sn 0.869 0.750 0.240

E above lowest polymorph: 0 meV per atom
E_form: -309 meV per atom
Fermi-level density of states: 1.6 states/eV/f.u.
space group: P2_1/m (11)

=====

# 5
The following is a DFT calculation (PBE-GGA) of AcMgCl6 after structural relaxation.

Cell lengths 6.433, 6.655, 7.358 Å; angles 94.60, 113.18, 117.57 degrees
Element x y z (fractional)
Ac 0.000 0.000 0.000
Mg 0.000 0.500 0.500
Cl 0.071 0.696 0.237
Cl 0.204 0.894 0.748
Cl 0.471 0.553 0.668
Cl 0.529 0.447 0.332
Cl 0.796 0.106 0.252
Cl 0.929 0.304 0.763

Fermi-level density of states: 2.5 states/eV/f.u.
formation energy (no corrections): -1728 meV per atom
space group: P-1 (2)

=====

# 6
The following is a DFT calculation (PBE-GGA) of LaRe2F after structural relaxation.

Cell lengths 12.343, 12.343, 12.343 Å; angles 163.36, 163.36, 23.61 degrees
Element x y z (fractional)
La 0.000 0.000 0.000
La 0.750 0.250 0.500
Re 0.117 0.125 0.492
Re 0.375 0.883 0.008
Re 0.633 0.625 0.508
Re 0.875 0.367 0.992
F 0.250 0.750 0.500
F 0.500 0.500 0.000

E above lowest polymorph: 0 meV per atom
Fermi-level density of states: 3.5 states/eV/f.u.
formation energy (no corrections): -619 meV per atom
space group: I-42d (122)

=====

# 7
The following is a DFT calculation (PBE-GGA) of Sr4Os2S after structural relaxation.

Cell lengths 8.309, 8.309, 8.309 Å; angles 138.44, 138.44, 60.23 degrees
Element x y z (fractional)
Sr 0.000 0.500 0.500
Sr 0.199 0.199 0.000
Sr 0.500 0.000 0.500
Sr 0.801 0.801 0.000
Os 0.420 0.420 0.000
Os 0.580 0.580 0.000
S 0.000 0.000 0.000

Fermi-level density of states: 8.7 states/eV/f.u.
formation energy (no corrections): 138 meV per atom
space group: I4/mmm (139)

=====

# 8
The following is a DFT calculation (PBE-GGA) of ZrMnCrMo after structural relaxation.

Cell lengths 4.379, 4.379, 4.379 Å; angles 60.00, 60.00, 60.00 degrees
Element x y z (fractional)
Zr 0.000 0.000 0.000
Mn 0.750 0.750 0.750
Cr 0.250 0.250 0.250
Mo 0.500 0.500 0.500

E_form: 72 meV per atom
Fermi-level density of states: 4.0 states/eV/f.u.
space group: F-43m (216)

=====

Q: Which size of the total moment values were calculated for the entries above? A: 0.0 0.0 0.0 0.0 1.0 0.0 2.4 0.0, in μB/cell.